[1]
A geometry-optimized PuTlCl4 structure. Source: Alexandria, functional PBE.

## Properties
E above lowest polymorph in meV/atom: 0
SG: C2/c

```
data_PuTlCl4
_space_group_name_H-M_alt 'P 1'
_space_group_IT_number 1
_space_group_name_Hall 'P 1'
_cell_length_a 9.0209
_cell_length_b 9.0209
_cell_length_c 7.4427
_cell_angle_alpha 105.21
_cell_angle_beta 105.21
_cell_angle_gamma 44.39
loop_
_atom_site_label
_atom_site_type_symbol
_atom_site_fract_x
_atom_site_fract_y
_atom_site_fract_z
Pu1 Pu 0.0000 0.5000 0.0000
Pu2 Pu 0.5000 0.0000 0.5000
Tl1 Tl 0.2464 0.7536 0.7500
Tl2 Tl 0.7536 0.2464 0.2500
Cl1 Cl 0.0050 0.7986 0.0352
Cl2 Cl 0.2014 0.9950 0.4648
Cl3 Cl 0.2400 0.3753 0.3429
Cl4 Cl 0.3753 0.2400 0.8429
Cl5 Cl 0.6247 0.7600 0.1571
Cl6 Cl 0.7600 0.6247 0.6571
Cl7 Cl 0.7986 0.0050 0.5352
Cl8 Cl 0.9950 0.2014 0.9648
```

---

[2]
A geometry-optimized TaTl3V2Se6 structure. Source: Alexandria, functional PBE.

## Properties
SG: C2/m

```
data_TaTl3V2Se6
_space_group_name_H-M_alt 'P 1'
_space_group_IT_number 1
_space_group_name_Hall 'P 1'
_cell_length_a 6.1465
_cell_length_b 6.1465
_cell_length_c 8.6742
_cell_angle_alpha 90.44
_cell_angle_beta 90.44
_cell_angle_gamma 121.32
loop_
_atom_site_label
_atom_site_type_symbol
_atom_site_fract_x
_atom_site_fract_y
_atom_site_fract_z
Ta1 Ta 0.0000 0.0000 0.0000
Tl1 Tl 0.0000 0.0000 0.5000
Tl2 Tl 0.3253 0.6747 0.5000
Tl3 Tl 0.6747 0.3253 0.5000
V1 V 0.3682 0.6318 0.0000
V2 V 0.6318 0.3682 0.0000
Se1 Se 0.0071 0.6564 0.1685
Se2 Se 0.3372 0.3372 0.1966
Se3 Se 0.3436 0.9929 0.8315
Se4 Se 0.6564 0.0071 0.1685
Se5 Se 0.6628 0.6628 0.8034
Se6 Se 0.9929 0.3436 0.8315
```

---

Uncorrected formation energy for the records above, in order: -1.611, -0.572 eV per atom
Total energy for the records above, in order: -67.5, -65.0 eV per cell